Entry 1:
VASP calculation (PBE-GGA) on a relaxed TaNb4Ga crystal.

## Properties
Calculated formation energy = 0.5590 eV per atom
Crystal system = monoclinic
E = -8.634 eV per atom

Cell lengths 4.4039, 4.4039, 7.7711 Å; angles 106.37, 106.37, 60.05 degrees
With the nearest neighbours (Å) after each atom.
Sites, in units of the cell vectors:
Ta (0.0000, 0.0000, 0.0000)  8 Nb 2.71-2.76
Nb (0.1252, 0.1252, 0.3757)  3 Ga 2.70, 1 Ta 2.76
Nb (0.3763, 0.3763, 0.1290)  3 Ta 2.71, 1 Ga 2.73
Nb (0.6237, 0.6237, 0.8710)  3 Ta 2.71, 1 Ga 2.73
Nb (0.8748, 0.8748, 0.6243)  3 Ga 2.70, 1 Ta 2.76
Ga (0.5000, 0.5000, 0.5000)  8 Nb 2.70-2.73

=====

Entry 2:
VASP calculation (PBE-GGA) on a relaxed TaNbGa3 crystal.

## Properties
Calculated formation energy = 1.0777 eV per atom
Crystal system = cubic
E = -5.123 eV per atom

Cell lengths 4.8493, 4.8493, 4.8493 Å; angles 90.00, 90.00, 90.00 degrees
With the nearest neighbours (Å) after each atom.
Sites, in units of the cell vectors:
Ta (0.0000, 0.0000, 0.0000)  6 Ga 2.42
Nb (0.5000, 0.5000, 0.5000)  12 Ga 3.43
Ga (0.0000, 0.0000, 0.5000)  2 Ta 2.42
Ga (0.0000, 0.5000, 0.0000)  2 Ta 2.42
Ga (0.5000, 0.0000, 0.0000)  2 Ta 2.42

=====

| no. | N(E_F) (states/eV/f.u.) |
| --- | --- |
| 1 | 4.401 |
| 2 | 9.860 |